[1]
A geometry-optimized Ho2AgS structure. Source: the Alexandria database, functional GGA-PBE.

abc: 7.6366 7.6366 7.6366
angles: 29.20 29.20 29.20
Closest atoms and distances in Å follow each position.
Fractional coordinates of all 4 atoms:
Ho: 0.2412 0.2412 0.2412  3 S 2.76, 3 Ag 3.00
Ho: 0.7588 0.7588 0.7588  3 S 2.76, 3 Ag 3.00
Ag: 0.0000 0.0000 0.0000  6 Ho 3.00
S: 0.5000 0.5000 0.5000  6 Ho 2.76

- Energy relative to the lowest polymorph listed for this composition: 78.1 meV/atom
- E_tot: -5.082 eV/atom
- Crystal system: trigonal

---

[2]
A geometry-optimized Ho2AgS structure. Source: the Alexandria database, functional GGA-PBE.

abc: 8.0193 8.0193 8.0193
angles: 27.24 27.24 27.24
Closest atoms and distances in Å follow each position.
Fractional coordinates of all 4 atoms:
Ho: 0.0000 0.0000 0.0000  3 S 2.82, 3 Ag 2.97
Ho: 0.1572 0.1572 0.1572  3 S 2.86, 3 Ag 3.00
Ag: 0.5794 0.5794 0.5794  6 Ho 2.97-3.00
S: 0.4104 0.4104 0.4104  6 Ho 2.82-2.86

- Energy relative to the lowest polymorph listed for this composition: 196.5 meV/atom
- E_tot: -4.964 eV/atom
- Crystal system: trigonal

---

Which formula does entry 2 have? Ho2AgS

---

What is the formula in the second record? Ho2AgS